(1)
10
Lattice="6.049 0.000 1.689 2.552 6.800 2.536 0.243 0.170 10.804" Properties=species:S:1:pos:R:3 comment="NaSr3Au PBE optimized geometry" space_group="No. 12" density_g_cm3=3.647 relative_energy_ev_per_atom=0.005 magmom_total_mub_per_cell=0.0 pbc="T T T"
Sr 1.905 2.533 4.855
Sr 3.304 2.422 11.518
Sr 5.443 0.133 3.858
Sr 6.940 4.436 10.174
Sr 5.540 4.548 3.510
Au 2.510 4.647 2.686
Sr 3.401 6.837 11.170
Na 4.363 1.718 7.725
Au 6.334 2.323 12.342
Na 4.481 5.252 7.303



(2)
3
Lattice="5.206 0.000 0.000 2.603 4.509 0.000 2.603 1.503 4.251" Properties=species:S:1:pos:R:3 comment="NaSrAu PBE optimized geometry" space_group="No. 216" density_g_cm3=5.118 relative_energy_ev_per_atom=0.019 magmom_total_mub_per_cell=0.0 pbc="T T T"
Na 5.206 3.006 2.125
Sr 0.000 0.000 0.000
Au 2.603 1.503 1.063



(3)
4
Lattice="-2.307 0.338 -3.307 -4.031 -0.135 0.324 -2.383 11.382 0.351" Properties=species:S:1:pos:R:3 comment="Na2SrAu PBE optimized geometry" space_group="No. 166" density_g_cm3=3.397 relative_energy_ev_per_atom=0.357 magmom_total_mub_per_cell=0.0 pbc="T T T"
Na -2.291 7.534 -0.107
Na -6.431 4.052 -2.525
Sr 0.000 0.000 0.000
Au -4.361 5.793 -1.316



(4)
18
Lattice="-6.600 -6.652 -2.542 7.771 -0.607 -5.788 3.634 -1.156 8.928" Properties=species:S:1:pos:R:3 comment="NaSr12Au5 PBE optimized geometry" space_group="No. 71" density_g_cm3=4.895 dft_energy_ev_per_atom=-2.56 magmom_total_mub_per_cell=0.0 pbc="T T T"
Sr 5.442 -4.942 0.236
Sr 9.088 -2.739 0.871
Na 5.703 -0.882 1.570
Au 0.769 -4.765 -5.468
Sr 2.849 -3.050 3.059
Sr -0.637 -3.472 0.363
Sr -4.283 -5.675 -0.273
Sr 2.047 -6.654 1.470
Sr 2.759 -1.761 -0.872
Au 0.402 -2.494 -2.862
Sr -1.922 -6.856 3.130
Sr 6.728 -1.558 -2.532
Sr 1.957 -5.365 -2.460
Au 0.000 0.000 0.000
Sr -1.878 -4.772 -3.516
Au -0.060 -4.124 3.585
Au 4.866 -4.291 -2.986
Sr 6.684 -3.643 4.114



(5)
6
Lattice="5.154 0.000 0.000 -2.577 4.489 -0.400 0.000 -2.185 8.143" Properties=species:S:1:pos:R:3 comment="NaSrAu PBE optimized geometry" space_group="No. 12" density_g_cm3=5.554 relative_energy_ev_per_atom=0.076 magmom_total_mub_per_cell=0.0 pbc="T T T"
Au 0.000 0.204 1.648
Sr 0.000 0.493 5.039
Na 2.577 -0.800 7.225
Sr 2.577 1.811 2.705
Au 2.577 2.101 6.096
Na 0.000 3.105 0.519



(6)
12
Lattice="-5.467 -0.130 2.778 -2.792 0.549 -5.470 1.075 -15.199 1.401" Properties=species:S:1:pos:R:3 comment="Na3Sr7Au2 PBE optimized geometry" space_group="No. 65" density_g_cm3=3.153 dft_energy_ev_per_atom=-2.12 magmom_total_mub_per_cell=0.0 pbc="T T T"
Sr -1.586 -8.540 -3.523
Sr -4.385 -11.669 -2.408
Sr -2.799 -3.111 1.117
Sr -0.254 -11.804 -1.055
Na -4.129 0.209 -1.346
Na -4.260 -5.846 -1.887
Au -1.652 -11.580 -3.794
Au -0.066 -3.069 -0.274
Sr -0.132 -6.109 -0.546
Na -2.924 -8.934 0.596
Sr -1.463 -2.846 -3.014
Sr 0.000 0.000 0.000



(7)
5
Lattice="5.890 0.000 0.000 0.000 5.890 0.000 0.000 0.000 5.890" Properties=species:S:1:pos:R:3 comment="NaSrAu3 PBE optimized geometry" space_group="No. 221" density_g_cm3=5.700 relative_energy_ev_per_atom=0.596 magmom_total_mub_per_cell=0.0 pbc="T T T"
Na 2.945 2.945 2.945
Au 2.945 0.000 0.000
Au 0.000 2.945 0.000
Au 0.000 0.000 2.945
Sr 0.000 0.000 0.000



(8)
16
Lattice="-3.322 -4.164 -0.480 4.459 -2.930 -5.441 5.579 -5.308 7.432" Properties=species:S:1:pos:R:3 comment="NaSr3Au4 PBE optimized geometry" space_group="No. 51" density_g_cm3=8.175 dft_energy_ev_per_atom=-3.07 magmom_total_mub_per_cell=0.0 pbc="T T T"
Au 5.296 -4.719 4.212
Au -0.545 -2.815 -1.601
Au 1.683 -4.279 -4.320
Sr 1.966 -4.871 -1.102
Na 5.019 -4.119 0.996
Au -0.808 -6.219 0.017
Au 2.244 -5.469 2.115
Sr 2.521 -6.066 5.334
Au 1.420 -7.683 -2.701
Sr -0.264 -3.406 1.618
Sr 4.750 -7.532 2.613
Au 7.524 -6.183 1.494
Sr 0.000 0.000 0.000
Na 2.230 -1.465 -2.720
Au 4.472 -6.933 -0.604
Sr 2.790 -2.654 3.716



(9)
20
Lattice="9.139 0.000 4.457 4.011 10.143 3.375 0.654 -0.712 10.257" Properties=species:S:1:pos:R:3 comment="Na2Sr7Au PBE optimized geometry" space_group="No. 15" density_g_cm3=3.056 dft_energy_ev_per_atom=-1.91 magmom_total_mub_per_cell=0.0 pbc="T T T"
Sr 3.524 5.876 8.157
Sr 7.350 1.161 4.344
Sr 6.455 8.269 13.745
Au 10.171 2.002 12.769
Sr 9.067 4.766 13.724
Sr 9.535 7.761 10.437
Na 10.226 8.539 14.345
Na 3.578 0.891 3.744
Sr 11.299 7.097 6.820
Au 3.633 7.429 5.320
Sr 5.115 9.379 10.228
Na 6.319 5.606 10.759
Sr 10.281 3.554 9.932
Sr 2.506 2.333 11.269
Na 7.486 3.824 7.330
Sr 4.738 4.664 4.365
Sr 6.886 2.002 11.166
Sr 6.919 7.429 6.923
Sr 8.689 0.051 7.861
Sr 4.270 1.670 7.652



(10)
9
Lattice="-2.779 1.468 -3.334 1.830 -3.064 -2.873 -8.949 -8.733 3.614" Properties=species:S:1:pos:R:3 comment="Na6SrAu2 PBE optimized geometry" space_group="No. 123" density_g_cm3=3.765 dft_energy_ev_per_atom=-2.02 magmom_total_mub_per_cell=0.0 pbc="T T T"
Au -1.422 -1.723 -2.721
Na -1.426 -3.816 -0.492
Sr 0.000 0.000 0.000
Na -4.475 -4.367 1.807
Na -4.949 -5.165 -1.297
Na -3.730 -1.550 -0.722
Na -7.998 -5.715 1.001
Au -8.476 -8.607 0.127
Na -5.694 -7.981 1.232



(11)
10
Lattice="4.619 0.000 0.000 0.000 5.523 0.375 0.000 -0.503 11.499" Properties=species:S:1:pos:R:3 comment="Na2SrAu2 PBE optimized geometry" space_group="No. 11" density_g_cm3=5.954 relative_energy_ev_per_atom=0.073 magmom_total_mub_per_cell=0.0 pbc="T T T"
Na 3.464 0.631 1.252
Au 1.155 1.543 11.265
Au 3.464 3.477 0.609
Sr 1.155 3.292 2.863
Sr 3.464 1.729 9.011
Au 3.464 1.368 4.115
Au 1.155 3.652 7.758
Na 1.155 4.390 10.621
Na 3.464 4.001 5.856
Na 1.155 1.020 6.017



(12)
5
Lattice="-1.687 1.271 5.944 4.065 -4.350 2.084 4.519 4.388 0.345" Properties=species:S:1:pos:R:3 comment="NaSr3Au PBE optimized geometry" space_group="No. 221" density_g_cm3=3.194 relative_energy_ev_per_atom=0.754 magmom_total_mub_per_cell=0.0 pbc="T T T"
Sr 2.260 2.194 0.172
Na 0.000 0.000 0.000
Au 3.448 0.654 4.186
Sr 2.032 -2.175 1.042
Sr -0.844 0.635 2.972



(13)
12
Lattice="5.039 0.000 0.000 -2.519 4.364 0.000 0.000 0.000 13.496" Properties=species:S:1:pos:R:3 comment="Na2SrAu3 PBE optimized geometry" space_group="No. 164" density_g_cm3=8.108 dft_energy_ev_per_atom=-2.83 magmom_total_mub_per_cell=0.0 pbc="T T T"
Na 0.000 2.909 1.927
Na 0.000 0.000 0.000
Au 0.000 2.909 5.891
Na 2.519 1.455 11.568
Au 0.000 0.000 10.487
Au 0.000 2.909 12.272
Au 2.519 1.455 7.604
Au 2.519 1.455 1.224
Sr 2.519 1.455 4.393
Sr 0.000 2.909 9.103
Au 0.000 0.000 3.009
Na 0.000 0.000 6.748



(14)
11
Lattice="4.239 0.000 0.000 0.000 8.911 0.000 -2.120 -4.456 8.483" Properties=species:S:1:pos:R:3 comment="Na4Sr3Au4 PBE optimized geometry" space_group="No. 71" density_g_cm3=5.921 dft_energy_ev_per_atom=-2.59 magmom_total_mub_per_cell=0.0 pbc="T T T"
Au 2.120 0.000 4.228
Au 0.000 4.456 4.255
Sr 0.000 4.456 0.000
Au 2.120 1.848 0.000
Na 0.000 1.660 5.528
Sr 2.120 4.456 6.642
Na 2.120 2.795 2.955
Na 2.120 6.116 2.955
Sr 0.000 0.000 1.841
Au 2.120 7.063 0.000
Na 0.000 -1.660 5.528



(15)
10
Lattice="3.835 0.000 0.000 0.000 3.835 0.000 0.000 0.000 18.406" Properties=species:S:1:pos:R:3 comment="NaSr4Au5 PBE optimized geometry" space_group="No. 123" density_g_cm3=8.332 dft_energy_ev_per_atom=-3.10 magmom_total_mub_per_cell=0.0 pbc="T T T"
Au 1.918 1.918 1.527
Au 1.918 1.918 9.203
Na 0.000 0.000 0.000
Sr 0.000 0.000 3.415
Au 1.918 1.918 13.049
Sr 0.000 0.000 11.132
Au 1.918 1.918 16.879
Sr 0.000 0.000 7.275
Sr 0.000 0.000 14.992
Au 1.918 1.918 5.357



(16)
12
Lattice="-4.466 -2.711 -2.046 0.110 -2.046 -5.223 2.021 -9.786 0.862" Properties=species:S:1:pos:R:3 comment="Na3SrAu8 PBE optimized geometry" space_group="No. 160" density_g_cm3=11.115 dft_energy_ev_per_atom=-3.10 magmom_total_mub_per_cell=0.0 pbc="T T T"
Na 0.151 -10.383 -1.957
Au -1.488 -4.904 -5.643
Sr -3.061 -7.815 -6.044
Au -2.747 -10.171 -3.607
Na -1.084 -7.469 -3.124
Na 1.972 -9.670 0.815
Au -3.773 -5.236 -4.055
Au -1.542 -3.882 -3.034
Au -2.692 -11.194 -6.220
Au 0.068 -5.174 -0.986
Au -0.457 -9.838 -5.197
Au -1.106 -12.431 -4.195



(17)
10
Lattice="4.723 0.000 0.000 0.000 3.904 0.000 0.000 -1.952 13.828" Properties=species:S:1:pos:R:3 comment="NaSrAu3 PBE optimized geometry" space_group="No. 63" density_g_cm3=9.138 relative_energy_ev_per_atom=0.000 magmom_total_mub_per_cell=0.0 pbc="T T T"
Na 1.181 1.952 8.002
Au 3.542 0.000 8.875
Sr 3.542 1.952 11.695
Au 1.181 1.952 4.953
Au 1.181 0.000 13.110
Na 3.542 0.000 5.825
Au 3.542 1.952 3.475
Sr 1.181 0.000 2.133
Au 3.542 1.952 0.717
Au 1.181 0.000 10.353



(18)
10
Lattice="8.482 0.000 0.000 0.000 8.482 0.000 0.000 0.000 3.503" Properties=species:S:1:pos:R:3 comment="Na2SrAu2 PBE optimized geometry" space_group="No. 127" density_g_cm3=6.951 relative_energy_ev_per_atom=0.130 magmom_total_mub_per_cell=0.0 pbc="T T T"
Au 6.932 2.690 1.752
Au 5.792 6.932 1.752
Na 3.254 7.495 0.000
Na 0.987 3.254 0.000
Sr 0.000 0.000 0.000
Na 5.228 0.987 0.000
Au 2.690 1.551 1.752
Na 7.495 5.228 0.000
Au 1.551 5.792 1.752
Sr 4.241 4.241 0.000



(19)
5
Lattice="-3.178 -0.537 2.989 3.011 0.003 3.202 -0.713 6.705 3.680" Properties=species:S:1:pos:R:3 comment="Na2SrAu2 PBE optimized geometry" space_group="No. 139" density_g_cm3=6.453 relative_energy_ev_per_atom=0.000 magmom_total_mub_per_cell=0.0 pbc="T T T"
Na -1.987 2.950 4.883
Na 1.108 3.221 4.989
Au -0.207 1.107 3.211
Sr 0.000 0.000 0.000
Au -0.672 5.064 6.661



(20)
12
Lattice="5.761 0.530 -1.723 -2.075 8.937 -4.163 -0.042 -0.971 10.123" Properties=species:S:1:pos:R:3 comment="Na5Sr6Au PBE optimized geometry" space_group="No. 12" density_g_cm3=2.754 dft_energy_ev_per_atom=-1.76 magmom_total_mub_per_cell=0.0 pbc="T T T"
Sr 0.124 2.992 1.341
Na 3.635 1.842 2.148
Na -1.037 4.468 -2.081
Sr 1.191 7.543 -4.251
Sr 3.520 5.504 2.896
Sr 4.740 0.248 5.344
Na 0.009 6.654 2.090
Sr 2.495 1.925 -1.634
Na 2.354 5.801 -0.907
Au 0.000 0.000 0.000
Sr -1.096 8.249 -1.107
Na 1.290 2.696 5.144